CsLi2MoPd | PBE | optimized geometry

Geometry as extended XYZ:
```
5
Lattice="5.527 0.000 0.000 0.000 5.527 0.000 0.000 0.000 4.870" Properties=species:S:1:pos:R:3 pbc="T T T"
Cs 0.000 0.000 0.000
Li 0.000 2.763 2.435
Li 2.763 0.000 2.435
Mo 2.763 2.763 2.435
Pd 2.763 2.763 0.000
```

Output
- space group = No. 123
- formation energy (meV/atom) = 872
- total moment (μB/atom) = 0.60